Here is a PBEsol-optimized structure of NaCaHRu2 from the Alexandria database. Energies are from SCAN.

The structure in CIF format:
```
data_NaCaHRu2
_chemical_formula_sum 'Na1 Ca1 H1 Ru2'
_space_group_name_H-M_alt 'P 1'
_space_group_IT_number 1
_cell_length_a 3.355
_cell_length_b 5.016
_cell_length_c 5.016
_cell_angle_alpha 90.00
_cell_angle_beta 90.00
_cell_angle_gamma 90.00
loop_
_space_group_symop_operation_xyz
'x,y,z'
loop_
_atom_site_label
_atom_site_fract_x
_atom_site_fract_y
_atom_site_fract_z
_atom_site_occupancy
Ca1 0.500 0.500 0.500 1
Ru1 0.000 0.000 0.500 1
Ru2 0.000 0.500 0.000 1
H1 0.500 0.000 0.000 1
Na1 0.000 0.000 0.000 1
```

- mass density (g/cm3) = 5.24
- energy (eV/f.u.) = -79.25
- calculated volume (Å³/cell) = 84.39
- crystal system = tetragonal

***

Here is a PBEsol-optimized structure of CoReIr from the Alexandria database. Energies are from SCAN.

The structure in CIF format:
```
data_CoReIr
_chemical_formula_sum 'Co1 Re1 Ir1'
_space_group_name_H-M_alt 'P 1'
_space_group_IT_number 1
_cell_length_a 2.662
_cell_length_b 3.699
_cell_length_c 4.551
_cell_angle_alpha 113.98
_cell_angle_beta 107.01
_cell_angle_gamma 90.00
loop_
_space_group_symop_operation_xyz
'x,y,z'
loop_
_atom_site_label
_atom_site_fract_x
_atom_site_fract_y
_atom_site_fract_z
_atom_site_occupancy
Co1 0.998 0.998 0.995 1
Re1 0.336 0.336 0.673 1
Ir1 0.666 0.666 0.332 1
```

- E_form (meV/atom) = -63
- mass density (g/cm3) = 18.72
- calculated volume (Å³/cell) = 38.80
- crystal system = orthorhombic

***

Here is a PBEsol-optimized structure of La2CuSi from the Alexandria database. Energies are from SCAN.

The structure in CIF format:
```
data_La2CuSi
_chemical_formula_sum 'La2 Cu1 Si1'
_space_group_name_H-M_alt 'P 1'
_space_group_IT_number 1
_cell_length_a 3.257
_cell_length_b 3.257
_cell_length_c 8.542
_cell_angle_alpha 90.00
_cell_angle_beta 90.00
_cell_angle_gamma 90.00
loop_
_space_group_symop_operation_xyz
'x,y,z'
loop_
_atom_site_label
_atom_site_fract_x
_atom_site_fract_y
_atom_site_fract_z
_atom_site_occupancy
La1 0.000 0.000 0.937 1
La2 0.500 0.500 0.313 1
Si1 0.000 0.000 0.565 1
Cu1 0.500 0.500 0.685 1
```

- mass density (g/cm3) = 6.77
- energy (eV/f.u.) = -111.55
- calculated volume (Å³/cell) = 90.58
- crystal system = tetragonal

***

Here is a PBEsol-optimized structure of NbGa2Pt from the Alexandria database. Energies are from SCAN.

The structure in CIF format:
```
data_NbGa2Pt
_chemical_formula_sum 'Nb1 Ga2 Pt1'
_space_group_name_H-M_alt 'P 1'
_space_group_IT_number 1
_cell_length_a 4.428
_cell_length_b 4.428
_cell_length_c 4.428
_cell_angle_alpha 60.00
_cell_angle_beta 60.00
_cell_angle_gamma 60.00
loop_
_space_group_symop_operation_xyz
'x,y,z'
loop_
_atom_site_label
_atom_site_fract_x
_atom_site_fract_y
_atom_site_fract_z
_atom_site_occupancy
Pt1 0.500 0.500 0.500 1
Ga1 0.250 0.250 0.250 1
Ga2 0.750 0.750 0.750 1
Nb1 0.000 0.000 0.000 1
```

- E_form (meV/atom) = -336
- mass density (g/cm3) = 11.56
- calculated volume (Å³/cell) = 61.38
- crystal system = cubic

***

Here is a PBEsol-optimized structure of Li2AlAg from the Alexandria database. Energies are from SCAN.

The structure in CIF format:
```
data_Li2AlAg
_chemical_formula_sum 'Li2 Al1 Ag1'
_space_group_name_H-M_alt 'P 1'
_space_group_IT_number 1
_cell_length_a 2.754
_cell_length_b 4.556
_cell_length_c 5.017
_cell_angle_alpha 90.00
_cell_angle_beta 99.29
_cell_angle_gamma 90.00
loop_
_space_group_symop_operation_xyz
'x,y,z'
loop_
_atom_site_label
_atom_site_fract_x
_atom_site_fract_y
_atom_site_fract_z
_atom_site_occupancy
Li1 0.278 0.000 0.250 1
Li2 0.722 0.000 0.750 1
Al1 0.000 0.500 0.500 1
Ag1 0.500 0.500 0.000 1
```

- E_form (meV/atom) = -172
- mass density (g/cm3) = 3.98
- calculated volume (Å³/cell) = 62.13
- crystal system = monoclinic

***

Here is a PBEsol-optimized structure of Tl2RuCl from the Alexandria database. Energies are from SCAN.

The structure in CIF format:
```
data_Tl2RuCl
_chemical_formula_sum 'Tl2 Ru1 Cl1'
_space_group_name_H-M_alt 'P 1'
_space_group_IT_number 1
_cell_length_a 3.277
_cell_length_b 3.285
_cell_length_c 7.889
_cell_angle_alpha 90.10
_cell_angle_beta 90.00
_cell_angle_gamma 90.00
loop_
_space_group_symop_operation_xyz
'x,y,z'
loop_
_atom_site_label
_atom_site_fract_x
_atom_site_fract_y
_atom_site_fract_z
_atom_site_occupancy
Tl1 0.000 0.999 0.797 1
Tl2 0.000 0.001 0.203 1
Cl1 0.500 0.000 0.500 1
Ru1 0.500 0.500 0.000 1
```

- mass density (g/cm3) = 10.66
- ΔE to the lowest computed polymorph (meV per atom) = 0.0
- calculated volume (Å³/cell) = 84.94
- crystal system = monoclinic